Record 1
# Cu4Se2S

A relaxed Cu4Se2S crystal (PBE, Alexandria).

calculated density: 6.1 g/cm³
total DFT energy (no corrections): -55.76 eV per cell
space group: P2_1/m (11)
density of states at the Fermi level: 11.0 states/eV per cell
E_form (uncorrected): -0.4 eV/f.u.

Lattice parameters (Å, degrees): 5.9649 5.4000 8.0349 90.00 111.52 90.00
Last column: nearest neighbours and their distance in Å.
Sites, in units of the cell vectors:
Cu1 0.1316 0.2500 0.4818  1 S 2.29, 2 Se 2.47
Cu2 0.1848 0.2500 0.9557  1 S 2.20, 1 Se 2.39
Cu3 0.3389 0.0095 0.2653  1 S 2.27, 2 Se 2.45-2.51
Cu4 0.3389 0.4905 0.2653  1 S 2.27, 2 Se 2.45-2.51
Cu5 0.6611 0.5095 0.7347  1 S 2.27, 2 Se 2.45-2.51
Cu6 0.6611 0.9905 0.7347  1 S 2.27, 2 Se 2.45-2.51
Cu7 0.8152 0.7500 0.0443  1 S 2.20, 1 Se 2.39
Cu8 0.8684 0.7500 0.5182  1 S 2.29, 2 Se 2.47
Se1 0.0342 0.7500 0.8485  4 Cu 2.39-2.47
Se2 0.2738 0.7500 0.5023  5 Cu 2.47-2.71
Se3 0.7262 0.2500 0.4977  5 Cu 2.47-2.71
Se4 0.9658 0.2500 0.1515  4 Cu 2.39-2.47
S1 0.3867 0.2500 0.7746  4 Cu 2.20-2.29
S2 0.6133 0.7500 0.2254  4 Cu 2.20-2.29


Record 2
# Cu2SeS

A relaxed Cu2SeS crystal (PBE, Alexandria).

calculated density: 6.1 g/cm³
total DFT energy (no corrections): -15.74 eV per cell
space group: R3m (160)
density of states at the Fermi level: 2.3 states/eV per cell
polymorph energy (0 for the lowest one): 179 meV/atom
E_form (uncorrected): 0.1 eV/f.u.

Lattice parameters (Å, degrees): 6.2580 6.2580 6.2580 33.01 33.01 33.01
Last column: nearest neighbours and their distance in Å.
Sites, in units of the cell vectors:
Cu1 0.0000 0.0000 0.0000  3 S 2.42, 3 Se 2.58, 1 Cu 2.69
Cu2 0.1517 0.1517 0.1517  3 S 2.49, 3 Se 2.64, 1 Cu 2.69
Se1 0.5790 0.5790 0.5790  6 Cu 2.58-2.64
S1 0.4057 0.4057 0.4057  6 Cu 2.42-2.49


Record 3
# Cu2SeS

A relaxed Cu2SeS crystal (PBE, Alexandria).

calculated density: 5.2 g/cm³
total DFT energy (no corrections): -32.91 eV per cell
space group: I-42d (122)
density of states at the Fermi level: 5.8 states/eV per cell
polymorph energy (0 for the lowest one): 0 meV/atom
E_form (uncorrected): -0.7 eV/f.u.

Lattice parameters (Å, degrees): 6.5407 6.5407 6.5407 131.58 131.58 70.90
Last column: nearest neighbours and their distance in Å.
Sites, in units of the cell vectors:
Cu1 0.1022 0.6250 0.9772  2 S 2.25, 2 Se 2.39
Cu2 0.3750 0.3522 0.4772  2 S 2.25, 2 Se 2.39
Cu3 0.6478 0.1250 0.0228  2 S 2.25, 2 Se 2.39
Cu4 0.8750 0.8978 0.5228  2 S 2.25, 2 Se 2.39
Se1 0.2500 0.7500 0.5000  4 Cu 2.39
Se2 0.5000 0.5000 0.0000  4 Cu 2.39
S1 0.0000 0.0000 0.0000  4 Cu 2.25
S2 0.7500 0.2500 0.5000  4 Cu 2.25


Record 4
# CuSe2S

A relaxed CuSe2S crystal (PBE, Alexandria).

calculated density: 4.6 g/cm³
total DFT energy (no corrections): -28.15 eV per cell
space group: I-42d (122)
density of states at the Fermi level: 4.5 states/eV per cell
E_form (uncorrected): 1.1 eV/f.u.

Lattice parameters (Å, degrees): 7.5265 7.5265 7.5265 138.77 138.77 59.73
Last column: nearest neighbours and their distance in Å.
Sites, in units of the cell vectors:
Cu1 0.0000 0.0000 0.0000  4 Se 2.45
Cu2 0.7500 0.2500 0.5000  4 Se 2.45
Se1 0.1127 0.6250 0.9877  2 Cu 2.45, 2 S 2.52
Se2 0.3750 0.3627 0.4877  2 Cu 2.45, 2 S 2.52
Se3 0.6373 0.1250 0.0123  2 Cu 2.45, 2 S 2.52
Se4 0.8750 0.8873 0.5123  2 Cu 2.45, 2 S 2.52
S1 0.2500 0.7500 0.5000  4 Se 2.52
S2 0.5000 0.5000 0.0000  4 Se 2.52


Record 5
# CuSe3S

A relaxed CuSe3S crystal (PBE, Alexandria).

calculated density: 5.2 g/cm³
total DFT energy (no corrections): -14.81 eV per cell
space group: Pm-3m (221)
density of states at the Fermi level: 5.7 states/eV per cell
polymorph energy (0 for the lowest one): 0 meV/atom
E_form (uncorrected): 3.9 eV/f.u.

Lattice parameters (Å, degrees): 4.7393 4.7393 4.7393 90.00 90.00 90.00
Last column: nearest neighbours and their distance in Å.
Sites, in units of the cell vectors:
Cu1 0.0000 0.0000 0.0000  6 Se 2.37
Se1 0.0000 0.0000 0.5000  2 Cu 2.37
Se2 0.0000 0.5000 0.0000  2 Cu 2.37
Se3 0.5000 0.0000 0.0000  2 Cu 2.37
S1 0.5000 0.5000 0.5000  12 Se 3.35


Record 6
# Cu4SeS2

A relaxed Cu4SeS2 crystal (PBE, Alexandria).

calculated density: 4.0 g/cm³
total DFT energy (no corrections): -28.48 eV per cell
space group: P-42m (111)
density of states at the Fermi level: 5.9 states/eV per cell
polymorph energy (0 for the lowest one): 0 meV/atom
E_form (uncorrected): -0.4 eV/f.u.

Lattice parameters (Å, degrees): 5.7032 5.7032 5.0386 90.00 90.00 90.00
Last column: nearest neighbours and their distance in Å.
Sites, in units of the cell vectors:
Cu1 0.2053 0.2053 0.3370  2 S 2.21, 1 Se 2.37
Cu2 0.2053 0.7947 0.6630  2 S 2.21, 1 Se 2.37
Cu3 0.7947 0.2053 0.6630  2 S 2.21, 1 Se 2.37
Cu4 0.7947 0.7947 0.3370  2 S 2.21, 1 Se 2.37
Se1 0.0000 0.0000 0.0000  4 Cu 2.37
S1 0.0000 0.5000 0.5000  4 Cu 2.21
S2 0.5000 0.0000 0.5000  4 Cu 2.21


Record 7
# SmCuSeS

A relaxed SmCuSeS crystal (PBE, Alexandria).

calculated density: 6.0 g/cm³
total DFT energy (no corrections): -42.54 eV per cell
space group: R-3m (166)
E_form (uncorrected): -4.8 eV/f.u.

Lattice parameters (Å, degrees): 11.2388 11.2388 11.2388 22.26 22.26 22.26
Last column: nearest neighbours and their distance in Å.
Sites, in units of the cell vectors:
Sm1 0.1060 0.1060 0.1060  4 S 2.69-3.01
Sm2 0.8940 0.8940 0.8940  4 S 2.69-3.01
Cu1 0.3027 0.3027 0.3027  4 Se 2.55-2.56
Cu2 0.6973 0.6973 0.6973  4 Se 2.55-2.56
Se1 0.3803 0.3803 0.3803  4 Cu 2.55-2.56
Se2 0.6197 0.6197 0.6197  4 Cu 2.55-2.56
S1 0.1975 0.1975 0.1975  4 Sm 2.69-3.01
S2 0.8025 0.8025 0.8025  4 Sm 2.69-3.01


Record 8
# Sm6CuSe3S2

A relaxed Sm6CuSe3S2 crystal (PBE, Alexandria).

calculated density: 7.1 g/cm³
total DFT energy (no corrections): -70.68 eV per cell
space group: C2/m (12)
density of states at the Fermi level: 5.3 states/eV per cell
E_form (uncorrected): -19.6 eV/f.u.

Lattice parameters (Å, degrees): 7.1010 7.1010 7.1675 99.54 99.54 119.97
Last column: nearest neighbours and their distance in Å.
Sites, in units of the cell vectors:
Sm1 0.0868 0.4220 0.7631  2 S 2.86, 1 Cu 2.87, 3 Se 2.94-2.97
Sm2 0.2444 0.2444 0.2366  2 S 2.85, 1 Cu 2.87, 3 Se 2.96-2.97
Sm3 0.4220 0.0868 0.7631  2 S 2.86, 1 Cu 2.87, 3 Se 2.94-2.97
Sm4 0.5780 0.9132 0.2369  2 S 2.86, 1 Cu 2.87, 3 Se 2.94-2.97
Sm5 0.7556 0.7556 0.7634  2 S 2.85, 1 Cu 2.87, 3 Se 2.96-2.97
Sm6 0.9132 0.5780 0.2369  2 S 2.86, 1 Cu 2.87, 3 Se 2.94-2.97
Cu1 0.5000 0.5000 0.0000  6 Sm 2.87
Se1 0.0000 0.0000 0.5000  6 Sm 2.96-2.97
Se2 0.3322 0.6678 0.5000  6 Sm 2.94-2.97
Se3 0.6678 0.3322 0.5000  6 Sm 2.94-2.97
S1 0.1658 0.8342 0.0000  6 Sm 2.85-2.86
S2 0.8342 0.1658 0.0000  6 Sm 2.85-2.86


Record 9
# Sm8CuSe4S3

A relaxed Sm8CuSe4S3 crystal (PBE, Alexandria).

calculated density: 7.1 g/cm³
total DFT energy (no corrections): -95.42 eV per cell
space group: R-3m (166)
density of states at the Fermi level: 6.8 states/eV per cell
E_form (uncorrected): -27.2 eV/f.u.

Lattice parameters (Å, degrees): 8.2675 8.2675 8.2675 59.20 59.20 59.20
Last column: nearest neighbours and their distance in Å.
Sites, in units of the cell vectors:
Sm1 0.2430 0.2430 0.2430  3 S 2.82, 3 Se 2.99
Sm2 0.2444 0.7453 0.7453  2 S 2.85, 1 Cu 2.85, 3 Se 2.96-2.97
Sm3 0.2547 0.2547 0.7556  2 S 2.85, 1 Cu 2.85, 3 Se 2.96-2.97
Sm4 0.2547 0.7556 0.2547  2 S 2.85, 1 Cu 2.85, 3 Se 2.96-2.97
Sm5 0.7453 0.2444 0.7453  2 S 2.85, 1 Cu 2.85, 3 Se 2.96-2.97
Sm6 0.7453 0.7453 0.2444  2 S 2.85, 1 Cu 2.85, 3 Se 2.96-2.97
Sm7 0.7556 0.2547 0.2547  2 S 2.85, 1 Cu 2.85, 3 Se 2.96-2.97
Sm8 0.7570 0.7570 0.7570  3 S 2.82, 3 Se 2.99
Cu1 0.5000 0.5000 0.5000  6 Sm 2.85
Se1 0.0000 0.0000 0.0000  6 Sm 2.96
Se2 0.0000 0.5000 0.5000  6 Sm 2.97-2.99
Se3 0.5000 0.0000 0.5000  6 Sm 2.97-2.99
Se4 0.5000 0.5000 0.0000  6 Sm 2.97-2.99
S1 0.0000 0.0000 0.5000  6 Sm 2.82-2.85
S2 0.0000 0.5000 0.0000  6 Sm 2.82-2.85
S3 0.5000 0.0000 0.0000  6 Sm 2.82-2.85


Record 10
# Cu2SnSeS2

A relaxed Cu2SnSeS2 crystal (PBE, Alexandria).

calculated density: 5.0 g/cm³
total DFT energy (no corrections): -51.57 eV per cell
space group: Cmc2_1 (36)
density of states at the Fermi level: 1.0 states/eV per cell
E_form (uncorrected): -1.8 eV/f.u.

Lattice parameters (Å, degrees): 6.7916 6.7916 6.5029 90.00 90.00 60.05
Last column: nearest neighbours and their distance in Å.
Sites, in units of the cell vectors:
Cu1 0.0257 0.3358 0.0000  3 S 2.30-2.32, 1 Se 2.50
Cu2 0.3358 0.0257 0.5000  3 S 2.30-2.32, 1 Se 2.50
Cu3 0.6642 0.9743 0.0000  3 S 2.30-2.32, 1 Se 2.50
Cu4 0.9743 0.6642 0.5000  3 S 2.30-2.32, 1 Se 2.50
Sn1 0.3104 0.6896 0.9659  2 S 2.45, 2 Se 2.66-2.67
Sn2 0.6896 0.3104 0.4659  2 S 2.45, 2 Se 2.66-2.67
Se1 0.3072 0.6928 0.3761  2 Cu 2.50, 2 Sn 2.66-2.67
Se2 0.6928 0.3072 0.8761  2 Cu 2.50, 2 Sn 2.66-2.67
S1 0.0227 0.3333 0.3560  3 Cu 2.30-2.32, 1 Sn 2.45
S2 0.3333 0.0227 0.8560  3 Cu 2.30-2.32, 1 Sn 2.45
S3 0.6667 0.9773 0.3560  3 Cu 2.30-2.32, 1 Sn 2.45
S4 0.9773 0.6667 0.8560  3 Cu 2.30-2.32, 1 Sn 2.45


Record 11
# CuSn2SeS3

A relaxed CuSn2SeS3 crystal (PBE, Alexandria).

calculated density: 5.0 g/cm³
total DFT energy (no corrections): -60.55 eV per cell
space group: R-3m (166)
density of states at the Fermi level: 6.2 states/eV per cell
E_form (uncorrected): -2.3 eV/f.u.

Lattice parameters (Å, degrees): 7.6833 7.6833 7.6833 59.76 59.76 59.76
Last column: nearest neighbours and their distance in Å.
Sites, in units of the cell vectors:
Cu1 0.1057 0.1057 0.1057  3 S 2.28
Cu2 0.8943 0.8943 0.8943  3 S 2.28
Sn1 0.0000 0.5000 0.5000  4 S 2.66, 2 Se 2.77
Sn2 0.5000 0.0000 0.5000  4 S 2.66, 2 Se 2.77
Sn3 0.5000 0.5000 0.0000  4 S 2.66, 2 Se 2.77
Sn4 0.5000 0.5000 0.5000  6 S 2.74
Se1 0.2446 0.2446 0.2446  1 Cu 2.62, 3 Sn 2.77
Se2 0.7554 0.7554 0.7554  1 Cu 2.62, 3 Sn 2.77
S1 0.2474 0.2474 0.7434  1 Cu 2.28
S2 0.2474 0.7434 0.2474  1 Cu 2.28
S3 0.2566 0.7526 0.7526  1 Cu 2.28
S4 0.7434 0.2474 0.2474  1 Cu 2.28
S5 0.7526 0.2566 0.7526  1 Cu 2.28
S6 0.7526 0.7526 0.2566  1 Cu 2.28


Record 12
# Zn3Cu6Sn3Se4S8

A relaxed Zn3Cu6Sn3Se4S8 crystal (PBE, Alexandria).

calculated density: 4.8 g/cm³
total DFT energy (no corrections): -97.70 eV per cell
space group: Cm (8)
density of states at the Fermi level: 2.5 states/eV per cell
E_form (uncorrected): -10.3 eV/f.u.

Lattice parameters (Å, degrees): 5.5562 5.5562 17.1844 99.33 99.33 89.62
Last column: nearest neighbours and their distance in Å.
Sites, in units of the cell vectors:
Zn1 0.0000 0.0000 0.0000  2 S 2.38, 2 Se 2.48-2.49
Zn2 0.3246 0.3246 0.6588  3 S 2.38-2.39, 1 Se 2.49
Zn3 0.6576 0.6576 0.3287  3 S 2.38-2.39, 1 Se 2.49
Cu1 0.0926 0.5647 0.1568  3 S 2.30-2.32, 1 Se 2.46
Cu2 0.2286 0.7599 0.4866  3 S 2.30-2.32, 1 Se 2.46
Cu3 0.4087 0.9089 0.8153  2 S 2.30, 2 Se 2.44
Cu4 0.5647 0.0926 0.1568  3 S 2.30-2.32, 1 Se 2.46
Cu5 0.7599 0.2286 0.4866  3 S 2.30-2.32, 1 Se 2.46
Cu6 0.9089 0.4087 0.8153  2 S 2.30, 2 Se 2.44
Sn1 0.1684 0.1684 0.3268  3 S 2.48-2.49, 1 Se 2.58
Sn2 0.5001 0.5001 0.9953  2 S 2.50, 2 Se 2.58-2.59
Sn3 0.8319 0.8319 0.6566  3 S 2.48-2.49, 1 Se 2.58
Se1 0.1907 0.1907 0.9027  2 Cu 2.44, 1 Zn 2.49, 1 Sn 2.59
Se2 0.5226 0.5226 0.5650  2 Cu 2.46, 1 Zn 2.49, 1 Sn 2.58
Se3 0.7147 0.7147 0.9020  2 Cu 2.44, 1 Zn 2.48, 1 Sn 2.58
Se4 0.8582 0.8582 0.2359  2 Cu 2.46, 1 Zn 2.49, 1 Sn 2.58
S1 0.0442 0.0442 0.5698  2 Cu 2.30, 1 Zn 2.38, 1 Sn 2.48
S2 0.1305 0.6170 0.7448  2 Cu 2.30, 1 Zn 2.39, 1 Sn 2.49
S3 0.2870 0.7976 0.0846  2 Cu 2.31-2.32, 1 Zn 2.38, 1 Sn 2.50
S4 0.3783 0.3783 0.2389  2 Cu 2.30, 1 Zn 2.38, 1 Sn 2.48
S5 0.4644 0.9511 0.4147  2 Cu 2.31-2.32, 1 Zn 2.39, 1 Sn 2.49
S6 0.6170 0.1305 0.7448  2 Cu 2.30, 1 Zn 2.39, 1 Sn 2.49
S7 0.7976 0.2870 0.0846  2 Cu 2.31-2.32, 1 Zn 2.38, 1 Sn 2.50
S8 0.9511 0.4644 0.4147  2 Cu 2.31-2.32, 1 Zn 2.39, 1 Sn 2.49